A plane-wave DFT calculation with PBE was carried out for a geometry-optimized Ac2GaRh structure.

The structure belongs to space group P4/mmm (No. 123); the cell edges are 3.848, 3.848 and 7.549 Å and the angles 90.00°, 90.00° and 90.00°. The distinct sites, in fractional coordinates, are Ac at (0.000, 0.000, 0.233), Ga at (0.500, 0.500, 0.500) and Rh at (0.500, 0.500, 0.000).

A plane-wave DFT calculation with PBE was carried out for a geometry-optimized AcGaRh2 structure.

The structure belongs to space group P4/mmm (No. 123); the cell edges are 4.546, 4.546 and 3.795 Å and the angles 90.00°, 90.00° and 90.00°. The distinct sites, in fractional coordinates, are Ac at (0.000, 0.000, 0.000), Ga at (0.500, 0.500, 0.000) and Rh at (0.000, 0.500, 0.500).

Number 1: final energy -5.129 eV/atom, calculated volume 27.95 Å³/atom. Number 2: final energy -5.927 eV/atom, calculated volume 19.61 Å³/atom.